Record 1
Computed, not measured: an optimized crystal structure of LiGaB3 at the PBE level of DFT.

```
data_LiGaB3
_space_group_name_H-M_alt 'P m -3 m'
_space_group_IT_number 221
_space_group_name_Hall '-P 4 2 3'
_cell_length_a 4.183
_cell_length_b 4.183
_cell_length_c 4.183
_cell_angle_alpha 90.00
_cell_angle_beta 90.00
_cell_angle_gamma 90.00
loop_
_atom_site_label
_atom_site_type_symbol
_atom_site_fract_x
_atom_site_fract_y
_atom_site_fract_z
Li1 Li 0.000 0.000 0.000
Ga1 Ga 0.500 0.500 0.500
B1 B 0.000 0.500 0.500
```

Calculated density   2.47 Mg/m³
Energy above the most stable polymorph in this dataset   0.00 kcal/mol of atoms

---

Record 2
Computed, not measured: an optimized crystal structure of LiGaB3 at the PBE level of DFT.

```
data_LiGaB3
_space_group_name_H-M_alt 'P m -3 m'
_space_group_IT_number 221
_space_group_name_Hall '-P 4 2 3'
_cell_length_a 3.806
_cell_length_b 3.806
_cell_length_c 3.806
_cell_angle_alpha 90.00
_cell_angle_beta 90.00
_cell_angle_gamma 90.00
loop_
_atom_site_label
_atom_site_type_symbol
_atom_site_fract_x
_atom_site_fract_y
_atom_site_fract_z
Li1 Li 0.000 0.000 0.000
Ga1 Ga 0.500 0.500 0.500
B1 B 0.000 0.000 0.500
```

Calculated density   3.29 Mg/m³
Energy above the most stable polymorph in this dataset   4.23 kcal/mol of atoms

---

Record 3
Computed, not measured: an optimized crystal structure of LiMgGa2B at the PBE level of DFT.

```
data_LiMgGa2B
_space_group_name_H-M_alt 'P 4/m m m'
_space_group_IT_number 123
_space_group_name_Hall '-P 4 2'
_cell_length_a 4.422
_cell_length_b 4.422
_cell_length_c 4.707
_cell_angle_alpha 90.00
_cell_angle_beta 90.00
_cell_angle_gamma 90.00
loop_
_atom_site_label
_atom_site_type_symbol
_atom_site_fract_x
_atom_site_fract_y
_atom_site_fract_z
Li1 Li 0.000 0.000 0.000
Mg1 Mg 0.000 0.000 0.500
Ga1 Ga 0.000 0.500 0.000
B1 B 0.500 0.500 0.500
```

DFT total energy   -2.236 eV per atom
Calculated density   3.27 Mg/m³

---

Record 4
Computed, not measured: an optimized crystal structure of Li2GaNi5B2 at the PBE level of DFT.

```
data_Li2GaNi5B2
_space_group_name_H-M_alt 'P 4/m b m'
_space_group_IT_number 127
_space_group_name_Hall '-P 4 2ab'
_cell_length_a 8.660
_cell_length_b 8.660
_cell_length_c 2.823
_cell_angle_alpha 90.00
_cell_angle_beta 90.00
_cell_angle_gamma 90.00
loop_
_atom_site_label
_atom_site_type_symbol
_atom_site_fract_x
_atom_site_fract_y
_atom_site_fract_z
Li1 Li 0.175 0.325 0.000
Ga1 Ga 0.000 0.000 0.000
Ni1 Ni 0.000 0.500 0.500
Ni2 Ni 0.072 0.779 0.500
B1 B 0.122 0.622 0.000
```

DFT total energy   -5.239 eV per atom
Calculated density   6.26 Mg/m³

---

Record 5
Computed, not measured: an optimized crystal structure of Li3GaB2O6 at the PBE level of DFT.

```
data_Li3GaB2O6
_space_group_name_H-M_alt 'P -1'
_space_group_IT_number 2
_space_group_name_Hall '-P 1'
_cell_length_a 4.972
_cell_length_b 6.392
_cell_length_c 8.066
_cell_angle_alpha 73.42
_cell_angle_beta 88.95
_cell_angle_gamma 89.18
loop_
_atom_site_label
_atom_site_type_symbol
_atom_site_fract_x
_atom_site_fract_y
_atom_site_fract_z
Li1 Li 0.169 0.259 0.390
Li2 Li 0.177 0.965 0.739
Li3 Li 0.322 0.095 0.074
Ga1 Ga 0.353 0.445 0.728
B1 B 0.163 0.679 0.091
B2 B 0.342 0.826 0.430
O1 O 0.120 0.325 0.908
O2 O 0.210 0.992 0.319
O3 O 0.224 0.714 0.591
O4 O 0.293 0.519 0.222
O5 O 0.297 0.836 0.971
O6 O 0.389 0.234 0.602
```

Raw formation energy   -2.260 eV per atom
Calculated density   2.81 Mg/m³

---

Record 6
Computed, not measured: an optimized crystal structure of Li2GaBO4 at the PBE level of DFT.

```
data_Li2GaBO4
_space_group_name_H-M_alt 'I -4'
_space_group_IT_number 82
_space_group_name_Hall 'I -4'
_cell_length_a 4.410
_cell_length_b 4.410
_cell_length_c 7.606
_cell_angle_alpha 90.00
_cell_angle_beta 90.00
_cell_angle_gamma 90.00
loop_
_atom_site_label
_atom_site_type_symbol
_atom_site_fract_x
_atom_site_fract_y
_atom_site_fract_z
Li1 Li 0.000 0.000 0.000
Li2 Li 0.000 0.500 0.250
Ga1 Ga 0.000 0.000 0.500
B1 B 0.000 0.500 0.750
O1 O 0.191 0.708 0.639
```

Raw formation energy   -2.175 eV per atom
Calculated density   3.56 Mg/m³

---

Record 7
Computed, not measured: an optimized crystal structure of LiGa2BPb at the PBE level of DFT.

```
data_LiGa2BPb
_space_group_name_H-M_alt 'P 4/m m m'
_space_group_IT_number 123
_space_group_name_Hall '-P 4 2'
_cell_length_a 5.466
_cell_length_b 5.466
_cell_length_c 5.145
_cell_angle_alpha 90.00
_cell_angle_beta 90.00
_cell_angle_gamma 90.00
loop_
_atom_site_label
_atom_site_type_symbol
_atom_site_fract_x
_atom_site_fract_y
_atom_site_fract_z
Li1 Li 0.000 0.000 0.000
Ga1 Ga 0.000 0.500 0.500
B1 B 0.500 0.500 0.000
Pb1 Pb 0.000 0.000 0.500
```

DFT total energy   -2.340 eV per atom
Calculated density   3.94 Mg/m³

---

Record 8
Computed, not measured: an optimized crystal structure of Li2GaB2Pd5 at the PBE level of DFT.

```
data_Li2GaB2Pd5
_space_group_name_H-M_alt 'P 4/m b m'
_space_group_IT_number 127
_space_group_name_Hall '-P 4 2ab'
_cell_length_a 9.407
_cell_length_b 9.407
_cell_length_c 3.005
_cell_angle_alpha 90.00
_cell_angle_beta 90.00
_cell_angle_gamma 90.00
loop_
_atom_site_label
_atom_site_type_symbol
_atom_site_fract_x
_atom_site_fract_y
_atom_site_fract_z
Li1 Li 0.174 0.326 0.000
Ga1 Ga 0.000 0.000 0.000
B1 B 0.126 0.626 0.000
Pd1 Pd 0.000 0.500 0.500
Pd2 Pd 0.074 0.785 0.500
```

DFT total energy   -5.071 eV per atom
Calculated density   7.96 Mg/m³

---

Record 9
Computed, not measured: an optimized crystal structure of LiGa2B2Rh5 at the PBE level of DFT.

```
data_LiGa2B2Rh5
_space_group_name_H-M_alt 'P 4/m b m'
_space_group_IT_number 127
_space_group_name_Hall '-P 4 2ab'
_cell_length_a 9.239
_cell_length_b 9.239
_cell_length_c 2.886
_cell_angle_alpha 90.00
_cell_angle_beta 90.00
_cell_angle_gamma 90.00
loop_
_atom_site_label
_atom_site_type_symbol
_atom_site_fract_x
_atom_site_fract_y
_atom_site_fract_z
Li1 Li 0.000 0.000 0.000
Ga1 Ga 0.177 0.323 0.000
B1 B 0.131 0.631 0.000
Rh1 Rh 0.000 0.500 0.500
Rh2 Rh 0.075 0.790 0.500
```

DFT total energy   -6.202 eV per atom
Calculated density   9.20 Mg/m³

---

Record 10
Computed, not measured: an optimized crystal structure of Li2GaB2Rh5 at the PBE level of DFT.

```
data_Li2GaB2Rh5
_space_group_name_H-M_alt 'P 4/m b m'
_space_group_IT_number 127
_space_group_name_Hall '-P 4 2ab'
_cell_length_a 9.358
_cell_length_b 9.358
_cell_length_c 2.876
_cell_angle_alpha 90.00
_cell_angle_beta 90.00
_cell_angle_gamma 90.00
loop_
_atom_site_label
_atom_site_type_symbol
_atom_site_fract_x
_atom_site_fract_y
_atom_site_fract_z
Li1 Li 0.174 0.326 0.000
Ga1 Ga 0.000 0.000 0.000
B1 B 0.126 0.626 0.000
Rh1 Rh 0.000 0.500 0.500
Rh2 Rh 0.073 0.785 0.500
```

DFT total energy   -6.199 eV per atom
Calculated density   8.17 Mg/m³

---

Record 11
Computed, not measured: an optimized crystal structure of LiGaB2Rh at the PBE level of DFT.

```
data_LiGaB2Rh
_space_group_name_H-M_alt 'P 4/m m m'
_space_group_IT_number 123
_space_group_name_Hall '-P 4 2'
_cell_length_a 3.726
_cell_length_b 3.726
_cell_length_c 4.257
_cell_angle_alpha 90.00
_cell_angle_beta 90.00
_cell_angle_gamma 90.00
loop_
_atom_site_label
_atom_site_type_symbol
_atom_site_fract_x
_atom_site_fract_y
_atom_site_fract_z
Li1 Li 0.000 0.000 0.000
Ga1 Ga 0.500 0.500 0.500
B1 B 0.000 0.500 0.000
Rh1 Rh 0.000 0.000 0.500
```

DFT total energy   -3.841 eV per atom
Calculated density   5.65 Mg/m³

---

Record 12
Computed, not measured: an optimized crystal structure of LiGa2BTe at the PBE level of DFT.

```
data_LiGa2BTe
_space_group_name_H-M_alt 'P 4/m m m'
_space_group_IT_number 123
_space_group_name_Hall '-P 4 2'
_cell_length_a 4.654
_cell_length_b 4.654
_cell_length_c 5.039
_cell_angle_alpha 90.00
_cell_angle_beta 90.00
_cell_angle_gamma 90.00
loop_
_atom_site_label
_atom_site_type_symbol
_atom_site_fract_x
_atom_site_fract_y
_atom_site_fract_z
Li1 Li 0.000 0.000 0.000
Ga1 Ga 0.000 0.500 0.000
B1 B 0.500 0.500 0.500
Te1 Te 0.000 0.000 0.500
```

Raw formation energy   0.972 eV per atom
Calculated density   4.33 Mg/m³
Energy above the most stable polymorph in this dataset   5.01 kcal/mol of atoms

---

Question: Number 1 is which compound?
Answer: LiGaB3